Entry 1:
Computed, not measured: a relaxed structure of TbY6Tm at the PBE-GGA level of DFT.

The structure in POSCAR format:
```
TbY6Tm
1.0
6.561 0.000 0.000
-0.029 6.790 0.000
-1.454 -3.371 5.850
Tb Y Tm
1 6 1
direct
0.000 0.000 0.000
0.233 0.576 0.483
0.251 0.553 0.001
0.269 0.094 0.522
0.731 0.906 0.478
0.749 0.447 0.999
0.767 0.424 0.517
0.500 0.000 0.000
```

Calculated values
Energy of formation from the pure elements = 205 meV per atom
Space group = P-1 (2)
Energy above the most stable polymorph in this dataset = 181 meV/atom


Entry 2:
Computed, not measured: a relaxed structure of Be2SiRu at the PBE-GGA level of DFT.

The structure in POSCAR format:
```
Be2SiRu
1.0
3.646 0.000 0.000
0.000 3.646 0.000
0.000 0.000 3.199
Be Si Ru
2 1 1
direct
0.000 0.500 0.000
0.500 0.000 0.000
0.000 0.000 0.500
0.500 0.500 0.500
```

Calculated values
Uncorrected formation energy = -265 meV/atom
Space group = P4/mmm (123)


no.,total energy (eV per cell)
1,-46.25
2,-23.21